{
  "formula": "Na2Cd2Cl7",
  "functional": "GGA-PBE",
  "state": "relaxed",
  "m_tot_mub_per_fu": 1.0,
  "raw_formation_energy_ev_per_atom": -1.1279,
  "space_group": "No. 12",
  "volume_a3_per_cell": 341.1,
  "dos_ef_per_ev_cell": 10.2,
  "lattice_angstrom": [[-5.893, 2.269, -1.886], [-2.718, -2.956, 6.226], [2.552, 6.795, 1.489]],
  "species": ["Cd", "Cd", "Cl", "Cl", "Cl", "Cl", "Cl", "Cl", "Cl", "Na", "Na"],
  "frac_coords": [[0.882, 0.283, 0.283], [0.118, 0.717, 0.717], [0.277, 0.579, 0.952], [0.723, 0.421, 0.048], [0.000, 0.000, 0.000], [0.277, 0.952, 0.579], [0.757, 0.577, 0.577], [0.243, 0.423, 0.423], [0.723, 0.048, 0.421], [0.500, 0.696, 0.304], [0.500, 0.304, 0.696]]
}

{
  "formula": "NaCdCl2",
  "functional": "GGA-PBE",
  "state": "relaxed",
  "m_tot_mub_per_fu": 0.0,
  "raw_formation_energy_ev_per_atom": -1.0387,
  "space_group": "No. 122",
  "volume_a3_per_cell": 263.9,
  "dos_ef_per_ev_cell": 0.5,
  "de_polymorph_mev_per_atom": 7.8,
  "lattice_angstrom": [[6.320, 0.000, 0.000], [0.000, 6.320, 0.000], [3.160, 3.160, 6.609]],
  "species": ["Cd", "Cd", "Na", "Na", "Cl", "Cl", "Cl", "Cl"],
  "frac_coords": [[0.750, 0.250, 0.500], [0.000, 0.000, 0.000], [0.250, 0.750, 0.500], [0.500, 0.500, 0.000], [0.615, 0.125, 0.250], [0.135, 0.625, 0.250], [0.875, 0.865, 0.750], [0.375, 0.385, 0.750]]
}

{
  "formula": "NaCdCl2",
  "functional": "GGA-PBE",
  "state": "relaxed",
  "m_tot_mub_per_fu": 0.0,
  "raw_formation_energy_ev_per_atom": -1.0465,
  "space_group": "No. 15",
  "volume_a3_per_cell": 213.6,
  "dos_ef_per_ev_cell": 4.2,
  "de_polymorph_mev_per_atom": 0.0,
  "lattice_angstrom": [[-3.876, 1.429, 1.519], [-2.579, -5.664, -1.251], [5.584, 0.799, 7.121]],
  "species": ["Cd", "Cd", "Na", "Na", "Cl", "Cl", "Cl", "Cl"],
  "frac_coords": [[0.042, 0.919, 0.071], [0.042, 0.419, 0.071], [0.542, 0.919, 0.571], [0.042, 0.419, 0.571], [0.157, 0.921, 0.782], [0.446, 0.416, 0.360], [0.928, 0.916, 0.360], [0.639, 0.421, 0.782]]
}

{
  "formula": "Na2Cd5Cl12",
  "functional": "GGA-PBE",
  "state": "relaxed",
  "m_tot_mub_per_fu": 0.0,
  "raw_formation_energy_ev_per_atom": -1.1627,
  "space_group": "No. 12",
  "volume_a3_per_cell": 525.2,
  "dos_ef_per_ev_cell": 0.0,
  "lattice_angstrom": [[7.586, 0.000, 0.000], [-3.793, 7.138, -1.846], [0.000, 0.566, 9.553]],
  "species": ["Cl", "Cl", "Cl", "Cl", "Cl", "Cl", "Cl", "Cl", "Cl", "Cl", "Cl", "Cl", "Cd", "Cd", "Cd", "Cd", "Cd", "Na", "Na"],
  "frac_coords": [[0.105, 0.742, 0.494], [0.445, 0.378, 0.142], [0.548, 0.096, 0.824], [0.946, 0.892, 0.184], [0.363, 0.258, 0.506], [0.068, 0.622, 0.858], [0.452, 0.904, 0.176], [0.895, 0.258, 0.506], [0.555, 0.622, 0.858], [0.054, 0.108, 0.816], [0.637, 0.742, 0.494], [0.932, 0.378, 0.142], [0.409, 0.817, 0.642], [0.000, 0.000, 0.500], [0.591, 0.183, 0.358], [0.781, 0.561, 0.037], [0.219, 0.439, 0.963], [0.248, 0.000, 0.000], [0.752, 0.000, 0.000]]
}

{
  "formula": "NaCd2Cl",
  "functional": "GGA-PBE",
  "state": "relaxed",
  "m_tot_mub_per_fu": 0.0,
  "raw_formation_energy_ev_per_atom": -0.4965,
  "space_group": "No. 122",
  "volume_a3_per_cell": 225.8,
  "dos_ef_per_ev_cell": 0.5,
  "de_polymorph_mev_per_atom": 0.0,
  "lattice_angstrom": [[8.997, 0.000, 0.000], [0.000, 8.997, 0.000], [4.498, 4.498, 2.789]],
  "species": ["Cd", "Cd", "Cd", "Cd", "Na", "Na", "Cl", "Cl"],
  "frac_coords": [[0.875, 0.897, 0.750], [0.375, 0.353, 0.750], [0.647, 0.125, 0.250], [0.103, 0.625, 0.250], [0.250, 0.750, 0.500], [0.500, 0.500, 0.000], [0.000, 0.000, 0.000], [0.750, 0.250, 0.500]]
}

{
  "formula": "Na2CdCl4",
  "functional": "GGA-PBE",
  "state": "relaxed",
  "m_tot_mub_per_fu": 0.0,
  "raw_formation_energy_ev_per_atom": -1.4954,
  "space_group": "No. 91",
  "volume_a3_per_cell": 758.2,
  "dos_ef_per_ev_cell": 0.0,
  "de_polymorph_mev_per_atom": 0.5,
  "lattice_angstrom": [[-6.724, -4.017, 2.128], [-0.617, -2.958, -7.534], [6.386, -9.079, 3.041]],
  "species": ["Cl", "Cl", "Cl", "Cl", "Cl", "Cl", "Cl", "Cl", "Cl", "Cl", "Cl", "Cl", "Cl", "Cl", "Cl", "Cl", "Cd", "Cd", "Cd", "Cd", "Na", "Na", "Na", "Na", "Na", "Na", "Na", "Na"],
  "frac_coords": [[0.985, 0.235, 0.234], [0.237, 0.529, 0.502], [0.765, 0.985, 0.484], [0.015, 0.765, 0.734], [0.763, 0.529, 0.498], [0.015, 0.235, 0.766], [0.237, 0.471, 0.998], [0.235, 0.985, 0.516], [0.471, 0.237, 0.752], [0.529, 0.763, 0.252], [0.471, 0.763, 0.748], [0.529, 0.237, 0.248], [0.765, 0.015, 0.016], [0.763, 0.471, 0.002], [0.985, 0.765, 0.266], [0.235, 0.015, 0.984], [0.749, 0.000, 0.250], [0.000, 0.251, 0.000], [0.000, 0.749, 0.500], [0.251, 0.000, 0.750], [0.500, 0.752, 0.500], [0.749, 0.749, 0.875], [0.251, 0.749, 0.125], [0.500, 0.248, 0.000], [0.251, 0.251, 0.375], [0.248, 0.500, 0.750], [0.752, 0.500, 0.250], [0.749, 0.251, 0.625]]
}